Computed, not measured: a geometry-optimized CaVHgO4 structure at the GGA+U level of DFT.

Cell: 6.707 6.707 7.032 Å, 80.34 80.34 56.74°
Sites, in units of the cell vectors:
V 0.633 0.633 0.735
V 0.367 0.367 0.265
O 0.288 0.288 0.514
O 0.887 0.461 0.861
O 0.489 0.489 0.737
O 0.539 0.113 0.139
O 0.113 0.539 0.139
O 0.712 0.712 0.486
O 0.511 0.511 0.263
O 0.461 0.887 0.861
Hg 0.892 0.892 0.488
Hg 0.108 0.108 0.512
Ca 0.296 0.296 0.857
Ca 0.704 0.704 0.143

Calculated values
Magnetic moment in μB per formula unit: 0.0
Final energy in eV for the cell shown: -86.6
Crystal system: monoclinic
Space group: C2/m (12)